Entry 1:
A plane-wave DFT calculation with PBE-GGA was carried out for a relaxed Y2CdAs crystal.

Results
Calculated formation energy (kJ/mol of atoms): -50.8
SG: No. 122
Final energy (hartree per atom): -0.1892
Crystal system: tetragonal
Energy above the most stable polymorph in this dataset (eV per atom): 0.3181
Fermi-level density of states (states/eV per atom): 0.786
M_tot (μB/cell): 0.000

a = 7.913 Å, b = 7.913 Å, c = 6.625 Å
α = 53.33°, β = 53.33°, γ = 90.00°
Fractional coordinates of all 8 atoms:
Y (0.375, 0.401, 0.750)
Cd (0.000, 0.000, 0.000)
As (0.250, 0.750, 0.500)
Y (0.151, 0.625, 0.250)
As (0.500, 0.500, 0.000)
Y (0.875, 0.849, 0.750)
Cd (0.750, 0.250, 0.500)
Y (0.599, 0.125, 0.250)

Entry 2:
A plane-wave DFT calculation with PBE-GGA was carried out for a relaxed Tl7As3P crystal.

Results
Calculated formation energy (kJ/mol of atoms): 4.2
SG: No. 8
Final energy (hartree per atom): -0.1184
Crystal system: monoclinic
Fermi-level density of states (states/eV per atom): 0.314
M_tot (μB/cell): 0.000

a = 7.958 Å, b = 7.874 Å, c = 7.313 Å
α = 70.60°, β = 57.04°, γ = 59.65°
Fractional coordinates of all 11 atoms:
Tl (0.377, 0.918, 0.327)
P (0.812, 0.569, 0.806)
Tl (0.731, 0.100, 0.877)
Tl (0.882, 0.941, 0.294)
Tl (0.292, 0.100, 0.877)
As (0.578, 0.741, 0.641)
As (0.051, 0.275, 0.623)
Tl (0.418, 0.416, 0.325)
As (0.040, 0.741, 0.641)
Tl (0.841, 0.416, 0.325)
Tl (0.252, 0.565, 0.932)

Entry 3:
A plane-wave DFT calculation with PBE-GGA was carried out for a relaxed Tm2Mo2C3 crystal.

Results
Calculated formation energy (kJ/mol of atoms): -34.8
SG: No. 12
Final energy (hartree per atom): -0.3192
Crystal system: monoclinic
Energy above the most stable polymorph in this dataset (eV per atom): 0.0357
Fermi-level density of states (states/eV per atom): 0.357
M_tot (μB/cell): 0.000

a = 5.878 Å, b = 5.878 Å, c = 5.649 Å
α = 72.20°, β = 72.20°, γ = 33.23°
Fractional coordinates of all 7 atoms:
C (0.270, 0.270, 0.254)
Tm (0.385, 0.385, 0.819)
Mo (0.851, 0.851, 0.370)
Tm (0.615, 0.615, 0.181)
C (0.730, 0.730, 0.746)
Mo (0.149, 0.149, 0.630)
C (0.000, 0.000, 0.500)

Entry 4:
A plane-wave DFT calculation with PBE-GGA was carried out for a relaxed ErSeO crystal.

Results
SG: No. 12
Final energy (hartree per atom): -0.2445
Crystal system: monoclinic
Fermi-level density of states (states/eV per atom): 0.477
Energy relative to the elements, uncorrected (meV per atom): -2317
M_tot (μB/cell): 0.000

a = 3.743 Å, b = 3.596 Å, c = 11.827 Å
α = 92.12°, β = 90.00°, γ = 121.36°
Fractional coordinates of all 6 atoms:
Er (0.157, 0.313, 0.375)
Se (0.477, 0.954, 0.190)
O (0.179, 0.358, 0.574)
Se (0.523, 0.046, 0.810)
Er (0.843, 0.687, 0.625)
O (0.821, 0.642, 0.426)